First-principles (PBE) data for a relaxed structure of YPaO, as listed in the Alexandria database.

Properties
E_tot: -50.462 eV per cell
E_form (uncorrected): -1438 meV/atom

a = 6.3789 Å, b = 3.5423 Å, c = 7.3375 Å
α = 103.97°, β = 115.76°, γ = 90.00°
Last column: nearest neighbours and their distance in Å.
Sites, in units of the cell vectors:
O 0.0976 0.5976 0.1952  1 Y 2.17, 2 Pa 2.21
O 0.9024 0.4024 0.8048  1 Y 2.17, 2 Pa 2.21
Y 0.7318 0.2318 0.4637  1 O 2.17
Y 0.2682 0.7682 0.5363  1 O 2.17
Pa 0.2863 0.5000 0.0000  2 O 2.21
Pa 0.7137 0.5000 0.0000  2 O 2.21